Record 1
# Ho3TmPd12 | Alexandria | PBE-GGA | optimized geometry
data_Ho3TmPd12
_space_group_name_H-M_alt 'P 4/m m m'
_space_group_IT_number 123
_space_group_name_Hall '-P 4 2'
_cell_length_a 4.1022
_cell_length_b 4.1022
_cell_length_c 16.4902
_cell_angle_alpha 90.00
_cell_angle_beta 90.00
_cell_angle_gamma 90.00
loop_
_atom_site_label
_atom_site_fract_x
_atom_site_fract_y
_atom_site_fract_z
Ho1 0.0000 0.0000 0.0000
Ho2 0.0000 0.0000 0.2509
Tm1 0.0000 0.0000 0.5000
Pd1 0.0000 0.5000 0.1254
Pd2 0.0000 0.5000 0.3762
Pd3 0.5000 0.5000 0.0000
Pd4 0.5000 0.5000 0.2507
Pd5 0.5000 0.5000 0.5000
# **Crystal system**: tetragonal
# **Volume**: 17.3 A^3/atom
# **Calculated total energy**: -94.83 eV for the cell shown
# **DOS at the Fermi energy**: 12.83 states/eV/f.u.

Record 2
# HoTmPd3 | Alexandria | PBE-GGA | optimized geometry
data_HoTmPd3
_space_group_name_H-M_alt 'P 1 21/c 1'
_space_group_IT_number 14
_cell_length_a 8.3523
_cell_length_b 5.4454
_cell_length_c 9.2662
_cell_angle_alpha 90.00
_cell_angle_beta 106.27
_cell_angle_gamma 90.00
loop_
_space_group_symop_operation_xyz
'x,y,z'
'-x,-y,-z'
'-x,y+1/2,-z+1/2'
'x,-y+1/2,z+1/2'
loop_
_atom_site_label
_atom_site_fract_x
_atom_site_fract_y
_atom_site_fract_z
Ho1 0.2350 0.2465 0.0586
Tm1 0.3220 0.7342 0.8308
Pd1 0.0067 0.0050 0.7526
Pd2 0.1161 0.7466 0.0291
Pd3 0.4761 0.2209 0.8692
# **Crystal system**: monoclinic
# **Volume**: 20.2 A^3/atom
# **Calculated total energy**: -116.07 eV for the cell shown
# **DOS at the Fermi energy**: 2.87 states/eV/f.u.